CoCuSiRu PBE relaxed; density of states at the Fermi level = 4.47 states/eV/f.u.; uncorrected formation energy = -0.212 eV/atom; final energy = -6.69 eV/atom
1.0
5.7581 0.0000 0.0000
0.0000 5.7581 0.0000
0.0000 0.0000 5.7581
Co Cu Si Ru
4 4 4 4
direct
0.0000 0.0000 0.0000 Co
0.0000 0.5000 0.5000 Co
0.5000 0.0000 0.5000 Co
0.5000 0.5000 0.0000 Co
0.2500 0.2500 0.2500 Cu
0.2500 0.7500 0.7500 Cu
0.7500 0.2500 0.7500 Cu
0.7500 0.7500 0.2500 Cu
0.2500 0.2500 0.7500 Si
0.2500 0.7500 0.2500 Si
0.7500 0.2500 0.2500 Si
0.7500 0.7500 0.7500 Si
0.0000 0.0000 0.5000 Ru
0.0000 0.5000 0.0000 Ru
0.5000 0.0000 0.0000 Ru
0.5000 0.5000 0.5000 Ru